TlFeAg3 | GGA-PBE | optimized geometry

a b c (Å): 4.9914 4.9914 4.9914
angles (deg): 90.00 90.00 90.00
Closest atoms and distances in Å follow each position.
Element x y z (fractional)
Tl 0.0000 0.0000 0.0000  12 Ag 3.53
Fe 0.5000 0.5000 0.5000  6 Ag 2.50
Ag 0.0000 0.5000 0.5000  2 Fe 2.50
Ag 0.5000 0.0000 0.5000  2 Fe 2.50
Ag 0.5000 0.5000 0.0000  2 Fe 2.50

Output
Calculated formation energy = 0.755 eV/atom
M_tot = 3.0 Bohr magnetons per cell
Final energy = -3.121 eV/atom
Volume = 124.4 Å³/cell